[1]
Material: SrCu2W2
Method: DFT, PBE-GGA
State: optimized geometry

Summary:
**Total magnetization**: 0.000 μB per atom
**Energy relative to the elements**: 308 kJ/mol of formula units
**Space-group type**: P4/mbm
**Raw total energy**: -6.52 eV/atom

a = 8.075 Å, b = 8.075 Å, c = 2.722 Å
α = 90.00°, β = 90.00°, γ = 90.00°
Fractional positions:
Sr 0.000 0.000 0.000
Sr 0.500 0.500 0.000
Cu 0.181 0.319 0.500
Cu 0.319 0.819 0.500
Cu 0.681 0.181 0.500
Cu 0.819 0.681 0.500
W 0.110 0.610 0.000
W 0.390 0.110 0.000
W 0.610 0.890 0.000
W 0.890 0.390 0.000

***

[2]
Material: Sr2CuW
Method: DFT, PBE-GGA
State: optimized geometry

Summary:
**Total magnetization**: 0.799 μB per atom
**Energy relative to the elements**: 492 kJ/mol of formula units
**Space-group type**: I-42d
**Raw total energy**: -3.83 eV/atom

a = 6.738 Å, b = 6.738 Å, c = 6.738 Å
α = 102.21°, β = 102.21°, γ = 125.25°
Fractional positions:
Sr 0.089 0.625 0.964
Sr 0.375 0.339 0.464
Sr 0.661 0.125 0.036
Sr 0.875 0.911 0.536
Cu 0.000 0.000 0.000
Cu 0.750 0.250 0.500
W 0.250 0.750 0.500
W 0.500 0.500 0.000

***

[3]
Material: SrCu2W2
Method: DFT, PBE-GGA
State: optimized geometry

Summary:
**Total magnetization**: 0.000 μB per atom
**Energy relative to the elements**: 260 kJ/mol of formula units
**Space-group type**: I4/mmm
**Raw total energy**: -6.62 eV/atom

a = 6.868 Å, b = 6.868 Å, c = 6.868 Å
α = 147.27°, β = 147.27°, γ = 46.97°
Fractional positions:
Sr 0.000 0.000 0.000
Cu 0.394 0.394 0.000
Cu 0.606 0.606 0.000
W 0.250 0.750 0.500
W 0.750 0.250 0.500

***

[4]
Material: SrCuW2
Method: DFT, PBE-GGA
State: optimized geometry

Summary:
**Total magnetization**: 0.000 μB per atom
**Energy relative to the elements**: 364 kJ/mol of formula units
**Space-group type**: P4/mmm
**Raw total energy**: -6.98 eV/atom

a = 2.790 Å, b = 2.790 Å, c = 9.350 Å
α = 90.00°, β = 90.00°, γ = 90.00°
Fractional positions:
Sr 0.000 0.000 0.000
Cu 0.000 0.000 0.500
W 0.500 0.500 0.301
W 0.500 0.500 0.699

***

no.,offset from the most stable computed form (kJ/mol of atoms),volume (Å³/f.u.)
1,9.5,89
2,18.7,111
3,0.0,94
4,0.0,73